# HfTl2Cu2S4

A relaxed structure of HfTl2Cu2S4 (GGA-PBE, the Alexandria database).

Calculated values
As for the crystal system: monoclinic. The value obtained for the calculated density is 7.23 Mg/m³.

Cell lengths 13.900, 3.782, 7.771 Å; angles 90.00, 108.76, 90.00 degrees
Space group C2/m (No. 12)
One atom of each set of equivalent atoms:
Hf 0.000 0.000 0.000
Tl 0.141 0.000 0.578
Cu 0.179 0.500 0.984
S 0.016 0.500 0.783
S 0.193 0.000 0.172

---

# HfZrCuS4

A relaxed structure of HfZrCuS4 (GGA-PBE, the Alexandria database).

Calculated values
As for the crystal system: orthorhombic. The value obtained for the calculated density is 5.44 Mg/m³.

Cell lengths 7.325, 7.385, 10.418 Å; angles 90.00, 90.00, 90.00 degrees
Space group Imma (No. 74)
One atom of each set of equivalent atoms:
Hf 0.000 0.000 0.000
Zr 0.250 0.250 0.250
Cu 0.000 0.250 0.627
S 0.000 0.001 0.246
S 0.244 0.250 0.000

---

# Hf2CuSb2

A relaxed structure of Hf2CuSb2 (GGA-PBE, the Alexandria database).

Calculated values
As for the crystal system: tetragonal. The value obtained for the calculated density is 9.98 Mg/m³.

Cell lengths 7.510, 7.510, 3.917 Å; angles 90.00, 90.00, 90.00 degrees
Space group P4/mbm (No. 127)
One atom of each set of equivalent atoms:
Hf 0.148 0.352 0.000
Cu 0.000 0.000 0.000
Sb 0.155 0.655 0.500

---

# Hf2Cu2Sb

A relaxed structure of Hf2Cu2Sb (GGA-PBE, the Alexandria database).

Calculated values
As for the crystal system: tetragonal. The value obtained for the calculated density is 11.22 Mg/m³. The energy above the most stable polymorph in this dataset comes out at 0 meV per atom.

Cell lengths 6.647, 6.647, 4.058 Å; angles 90.00, 90.00, 90.00 degrees
Space group P4/mbm (No. 127)
One atom of each set of equivalent atoms:
Hf 0.164 0.336 0.000
Cu 0.126 0.626 0.500
Sb 0.000 0.000 0.500

---

# HfCu2Sb2

A relaxed structure of HfCu2Sb2 (GGA-PBE, the Alexandria database).

Calculated values
As for the crystal system: tetragonal. The value obtained for the calculated density is 9.70 Mg/m³. The energy above the most stable polymorph in this dataset comes out at 0 meV per atom.

Cell lengths 7.179, 7.179, 3.650 Å; angles 90.00, 90.00, 90.00 degrees
Space group P4/mbm (No. 127)
One atom of each set of equivalent atoms:
Hf 0.000 0.000 0.000
Cu 0.119 0.381 0.000
Sb 0.180 0.680 0.500

---

# Hf5CuSb2

A relaxed structure of Hf5CuSb2 (GGA-PBE, the Alexandria database).

Calculated values
As for the crystal system: orthorhombic. The value obtained for the calculated density is 9.97 Mg/m³.

Cell lengths 4.792, 13.510, 12.347 Å; angles 90.00, 90.00, 90.00 degrees
Space group Cmcm (No. 63)
One atom of each set of equivalent atoms:
Hf 0.000 0.109 0.125
Hf 0.000 0.294 0.750
Hf 0.000 0.312 0.017
Cu 0.000 0.302 0.250
Sb 0.000 0.106 0.619

---

# Hf12CuSb6

A relaxed structure of Hf12CuSb6 (GGA-PBE, the Alexandria database).

Calculated values
As for the crystal system: trigonal. The value obtained for the calculated density is 11.70 Mg/m³.

Cell lengths 10.7635, 10.7635, 12.4620 Å; angles 90.00, 90.00, 120.00 degrees
Space group R-3 (No. 148, hexagonal axes)
One atom of each set of equivalent atoms:
Hf 0.0443 0.8624 0.3206
Hf 0.0609 0.2135 0.9114
Cu 0.0000 0.0000 0.5000
Sb 0.0153 0.5906 0.2111

---

# Hf5CuSb3

A relaxed structure of Hf5CuSb3 (GGA-PBE, the Alexandria database).

Calculated values
As for the crystal system: hexagonal. The value obtained for the calculated density is 11.97 Mg/m³.

Cell lengths 8.5674, 8.5674, 5.7673 Å; angles 90.00, 90.00, 120.00 degrees
Space group P6_3/mcm (No. 193)
One atom of each set of equivalent atoms:
Hf 0.0000 0.2638 0.2500
Hf 0.3333 0.6667 0.0000
Cu 0.0000 0.0000 0.0000
Sb 0.0000 0.3858 0.7500

---

For the records above, the corresponding E_form (uncorrected) values read -752, -1317, -180, -255, -42, 108, -195, -484 meV/atom.